Record 1
# PPt2

Crystalline PPt2 at its relaxed geometry (GGA-PBE, the Alexandria database).

abc: 10.2392 3.4982 5.5328
angles: 90.00 108.17 90.00
Space group C2/m (No. 12)
Asymmetric unit:
P 0.1840 0.0000 0.1518 x4
Pt 0.0644 0.5000 0.2705 x4
Pt 0.1429 0.0000 0.7091 x4

density	14.86	g/cm3
formation enthalpy at 0 K	-1.0	eV/f.u.
crystal system	monoclinic
density of states at the Fermi level	3.73	states/eV/cell

---

Record 2
# Pr7In2Au2

Crystalline Pr7In2Au2 at its relaxed geometry (GGA-PBE, the Alexandria database).

abc: 8.5386 11.6151 7.4220
angles: 90.00 90.00 90.00
Space group Cmmm (No. 65)
Asymmetric unit:
Pr 0.0000 0.0000 0.0000 x2
Pr 0.0000 0.5000 0.2552 x4
Pr 0.2500 0.2500 0.2678 x8
In 0.1678 0.0000 0.5000 x4
Au 0.0000 0.2873 0.0000 x4

density	7.26	g/cm3
formation enthalpy at 0 K	-3.1	eV/f.u.
crystal system	orthorhombic
density of states at the Fermi level	28.62	states/eV/cell

---

Record 3
# Bi2AsPb

Crystalline Bi2AsPb at its relaxed geometry (GGA-PBE, the Alexandria database).

abc: 3.7465 3.7465 8.1689
angles: 90.00 90.00 90.00
Space group P4/mmm (No. 123)
Asymmetric unit:
Bi 0.0000 0.0000 0.2118 x2
As 0.5000 0.5000 0.0000 x1
Pb 0.5000 0.5000 0.5000 x1

density	10.14	g/cm3
formation enthalpy at 0 K	0.6	eV/f.u.
crystal system	tetragonal
polymorph energy (0 for the lowest one)	64	meV per atom
density of states at the Fermi level	2.25	states/eV/cell

---

Record 4
# GePS2F

Crystalline GePS2F at its relaxed geometry (GGA-PBE, the Alexandria database).

abc: 4.6080 4.6080 4.8547
angles: 90.00 90.00 90.00
Space group P4/mmm (No. 123)
Asymmetric unit:
Ge 0.0000 0.0000 0.0000 x1
P 0.0000 0.0000 0.5000 x1
S 0.0000 0.5000 0.0000 x2
F 0.5000 0.5000 0.5000 x1

density	3.01	g/cm3
crystal system	tetragonal
polymorph energy (0 for the lowest one)	83	meV per atom
energy relative to the elements, uncorrected	63	kJ per mole of atoms
density of states at the Fermi level	5.36	states/eV/cell

---

Record 5
# Rb3RhI6

Crystalline Rb3RhI6 at its relaxed geometry (GGA-PBE, the Alexandria database).

abc: 12.2719 12.2719 12.2719
angles: 90.00 90.00 90.00
Space group Fm-3m (No. 225)
Asymmetric unit:
Rb 0.0000 0.0000 0.0000 x4
Rb 0.2500 0.2500 0.2500 x8
Rh 0.0000 0.0000 0.5000 x4
I 0.0000 0.0000 0.2802 x24

density	4.03	g/cm3
crystal system	cubic
polymorph energy (0 for the lowest one)	11	meV per atom
energy relative to the elements, uncorrected	-87	kJ per mole of atoms
density of states at the Fermi level	0.00	states/eV/cell

---

Record 6
# LiPmNdTc

Crystalline LiPmNdTc at its relaxed geometry (GGA-PBE, the Alexandria database).

abc: 7.1503 7.1503 7.1503
angles: 90.00 90.00 90.00
Space group F-43m (No. 216)
Asymmetric unit:
Li 0.0000 0.0000 0.0000 x4
Pm 0.2500 0.2500 0.2500 x4
Nd 0.2500 0.2500 0.7500 x4
Tc 0.0000 0.0000 0.5000 x4

density	7.16	g/cm3
formation enthalpy at 0 K	0.2	eV/f.u.
crystal system	cubic
density of states at the Fermi level	11.92	states/eV/cell

---

Record 7
# Ti3Cr3Si5

Crystalline Ti3Cr3Si5 at its relaxed geometry (GGA-PBE, the Alexandria database).

abc: 4.9502 8.0858 15.2180
angles: 90.00 90.00 90.00
Space group Immm (No. 71)
Asymmetric unit:
Ti 0.0000 0.2131 0.0945 x8
Ti 0.2431 0.5000 0.0000 x4
Cr 0.0000 0.5000 0.3560 x4
Cr 0.2500 0.2500 0.2500 x8
Si 0.0000 0.0000 0.2225 x4
Si 0.0000 0.2020 0.3890 x8
Si 0.0000 0.5000 0.1829 x4
Si 0.2383 0.5000 0.5000 x4

density	4.80	g/cm3
crystal system	orthorhombic
polymorph energy (0 for the lowest one)	190	meV per atom
energy relative to the elements, uncorrected	-41	kJ per mole of atoms
density of states at the Fermi level	27.61	states/eV/cell

---

Record 8
# Rb3V2PbS8

Crystalline Rb3V2PbS8 at its relaxed geometry (GGA-PBE, the Alexandria database).

abc: 7.2900 7.2900 9.6371
angles: 90.00 90.00 120.00
Space group P-3m1 (No. 164)
Asymmetric unit:
Rb 0.0000 0.0000 0.0000 x1
Rb 0.3333 0.6667 0.6600 x2
V 0.3333 0.6667 0.2303 x2
Pb 0.0000 0.0000 0.5000 x1
S 0.1707 0.3413 0.3016 x6
S 0.3333 0.6667 0.0117 x2

density	3.08	g/cm3
crystal system	trigonal
energy relative to the elements, uncorrected	-81	kJ per mole of atoms
density of states at the Fermi level	14.93	states/eV/cell

---

Which formula does entry 3 have?
Bi2AsPb

---

Which of these has the highest density?
PPt2